No. 1
The following is a PBE-GGA calculation of a geometry-optimized La4ZnSe3 structure, from the Alexandria database.

Uncorrected formation energy ... -1558 meV/atom

Lattice parameters (Å, degrees): 7.519 7.519 7.519 131.83 131.83 70.50
Element x y z (fractional)
La1 0.000 0.500 0.500
La2 0.246 0.246 0.000
La3 0.500 0.000 0.500
La4 0.754 0.754 0.000
Zn1 0.500 0.500 0.000
Se1 0.000 0.000 0.000
Se2 0.250 0.750 0.500
Se3 0.750 0.250 0.500

=====

No. 2
The following is a PBE-GGA calculation of a geometry-optimized ScTa2Be structure, from the Alexandria database.

Formation energy from the elements ... 222 meV/atom

Lattice parameters (Å, degrees): 3.996 5.524 5.524 36.06 90.00 90.00
Element x y z (fractional)
Sc1 0.000 0.000 0.000
Ta1 0.000 0.271 0.271
Ta2 0.500 0.690 0.690
Be1 0.500 0.412 0.412

=====

| no. | total magnetization (μB/f.u.) | Fermi-level density of states (states/eV per cell) |
| --- | --- | --- |
| 1 | 0.0 | 4.42 |
| 2 | 0.0 | 3.04 |